CoPOF2: relaxed, GGA+U.

The calculated total energy comes out at -21.78 eV per cell. The value obtained for the density of states at the Fermi level is 4.64 states/eV per cell.

The space group is P4/mmm (No. 123) and the conventional cell measures 4.024, 4.024 and 3.832 Å, with angles of 90.00, 90.00 and 90.00 degrees. The distinct sites, in fractional coordinates, are Co at (0.000, 0.000, 0.000), P at (0.500, 0.500, 0.500), O at (0.000, 0.000, 0.500) and F at (0.000, 0.500, 0.000).